This record from the Alexandria database describes a geometry-optimized K2NaCd6 structure. The functional is GGA-PBE.

Cell and atoms, written as CIF:
```
data_K2NaCd6
_cell_length_a 9.2341
_cell_length_b 9.2341
_cell_length_c 3.5649
_cell_angle_alpha 90.00
_cell_angle_beta 90.00
_cell_angle_gamma 120.00
_symmetry_space_group_name_H-M 'P 6/m m m'
_symmetry_Int_Tables_number 191
_symmetry_space_group_name_Hall '-P 6 2'
loop_
_atom_site_label
_atom_site_type_symbol
_atom_site_fract_x
_atom_site_fract_y
_atom_site_fract_z
_atom_site_occupancy
K1 K 0.3333 0.6667 0.0000 1
Na1 Na 0.0000 0.0000 0.0000 1
Cd1 Cd 0.0000 0.3242 0.5000 1
```

Values from the calculation:
Energy relative to the elements, eV per atom: -0.058

This record from the Alexandria database describes a geometry-optimized CsMn3Se structure. The functional is GGA-PBE.

Cell and atoms, written as CIF:
```
data_CsMn3Se
_cell_length_a 4.887
_cell_length_b 4.887
_cell_length_c 4.887
_cell_angle_alpha 90.00
_cell_angle_beta 90.00
_cell_angle_gamma 90.00
_symmetry_space_group_name_H-M 'P m -3 m'
_symmetry_Int_Tables_number 221
_symmetry_space_group_name_Hall '-P 4 2 3'
loop_
_atom_site_label
_atom_site_type_symbol
_atom_site_fract_x
_atom_site_fract_y
_atom_site_fract_z
_atom_site_occupancy
Cs1 Cs 0.000 0.000 0.000 1
Mn1 Mn 0.000 0.500 0.500 1
Se1 Se 0.500 0.500 0.500 1
```

Values from the calculation:
Formation energy without anion corrections, kJ/mol of formula units: 403.6

This record from the Alexandria database describes a geometry-optimized BaLiIn3 structure. The functional is GGA-PBE.

Cell and atoms, written as CIF:
```
data_BaLiIn3
_cell_length_a 7.3177
_cell_length_b 7.3177
_cell_length_c 6.1121
_cell_angle_alpha 90.00
_cell_angle_beta 90.00
_cell_angle_gamma 120.00
_symmetry_space_group_name_H-M 'P 63/m m c'
_symmetry_Int_Tables_number 194
_symmetry_space_group_name_Hall '-P 6c 2c'
loop_
_atom_site_label
_atom_site_type_symbol
_atom_site_fract_x
_atom_site_fract_y
_atom_site_fract_z
_atom_site_occupancy
Ba1 Ba 0.3333 0.6667 0.2500 1
Li1 Li 0.0000 0.0000 0.0000 1
In1 In 0.1844 0.3689 0.7500 1
```

Values from the calculation:
Energy relative to the elements, eV per atom: -0.283

This record from the Alexandria database describes a geometry-optimized Tb2Ce structure. The functional is GGA-PBE.

Cell and atoms, written as CIF:
```
data_Tb2Ce
_cell_length_a 3.5441
_cell_length_b 3.5441
_cell_length_c 25.4347
_cell_angle_alpha 90.00
_cell_angle_beta 90.00
_cell_angle_gamma 120.00
_symmetry_space_group_name_H-M 'R -3 m'
_symmetry_Int_Tables_number 166
_symmetry_space_group_name_Hall '-R 3 2"'
loop_
_atom_site_label
_atom_site_type_symbol
_atom_site_fract_x
_atom_site_fract_y
_atom_site_fract_z
_atom_site_occupancy
Tb1 Tb 0.0000 0.0000 0.2240 1
Ce1 Ce 0.0000 0.0000 0.0000 1
```

Values from the calculation:
Energy relative to the elements, eV per atom: 0.037

| no. | Fermi-level density of states (states/eV/f.u.) |
| --- | --- |
| 1 | 3.9 |
| 2 | 3.0 |
| 3 | 3.8 |
| 4 | 5.3 |